Below is Cs2YHg2S4 after structural relaxation, with properties calculated at the PBE level.

```
Cs2YHg2S4
1.0
4.0947 0.0000 0.0000
0.0000 8.5879 0.1243
-2.0474 -3.2764 7.5920
Cs S Hg Y
2 4 2 1
Cartesian
2.0474 1.3109 5.7153
0.0000 4.0006 2.0010
2.0474 4.6680 4.9886
0.0000 -1.3820 7.2352
0.0000 0.6435 2.7278
2.0474 6.6935 0.4811
0.0000 6.3628 4.8555
2.0474 -1.0513 2.8609
0.0000 0.0000 0.0000
```

Properties
Magnetic moment ... 0.000 μB/f.u.
Final energy ... -3.807 eV per atom